[1]
! HfNiAuI2 (GGA-PBE, optimized geometry); values from VASP
&SYSTEM
  ibrav = 0, nat = 5, ntyp = 4
/
ATOMIC_SPECIES
I 126.90 I.upf
Hf 178.49 Hf.upf
Au 196.97 Au.upf
Ni 58.69 Ni.upf
ATOMIC_POSITIONS angstrom
I 0.208 1.542 2.346
I -2.566 -0.849 0.785
Hf 0.000 0.000 0.000
Au 1.082 -2.090 1.278
Ni -1.277 -1.397 4.409
CELL_PARAMETERS angstrom
-5.133 -1.697 1.570
2.164 -4.180 2.556
0.415 3.083 4.692
! **ρ**: 6.7 g cm⁻³
! **Raw total energy**: -3.72 eV per atom

[2]
! HfAuIO2 (GGA-PBE, optimized geometry); values from VASP
&SYSTEM
  ibrav = 0, nat = 5, ntyp = 4
/
ATOMIC_SPECIES
I 126.90 I.upf
Hf 178.49 Hf.upf
Au 196.97 Au.upf
O 16.00 O.upf
ATOMIC_POSITIONS angstrom
I 0.000 0.000 2.674
Hf 2.112 2.112 2.674
Au 0.000 0.000 0.000
O 0.000 2.112 0.000
O 2.112 0.000 0.000
CELL_PARAMETERS angstrom
4.224 0.000 0.000
0.000 4.224 0.000
0.000 0.000 5.349
! **ρ**: 9.3 g cm⁻³
! **Energy above the lowest structure with this stoichiometry**: 194.0 kJ/mol of atoms

[3]
! HfAuIO2 (GGA-PBE, optimized geometry); values from VASP
&SYSTEM
  ibrav = 0, nat = 5, ntyp = 4
/
ATOMIC_SPECIES
I 126.90 I.upf
Hf 178.49 Hf.upf
Au 196.97 Au.upf
O 16.00 O.upf
ATOMIC_POSITIONS angstrom
I 1.416 2.135 1.842
Hf 0.000 0.000 0.000
Au -1.129 3.283 2.467
O -1.396 -0.309 1.431
O -1.148 1.457 -0.806
CELL_PARAMETERS angstrom
-2.297 2.914 -1.612
-2.792 -0.617 2.862
2.831 4.269 3.684
! **ρ**: 8.6 g cm⁻³
! **Energy above the lowest structure with this stoichiometry**: 0.0 kJ/mol of atoms

[4]
! Rb2HfAuI6 (GGA-PBE, optimized geometry); values from VASP
&SYSTEM
  ibrav = 0, nat = 10, ntyp = 4
/
ATOMIC_SPECIES
I 126.90 I.upf
Hf 178.49 Hf.upf
Au 196.97 Au.upf
Rb 85.47 Rb.upf
ATOMIC_POSITIONS angstrom
I -4.046 -5.500 -0.331
I -5.271 -11.564 -0.202
I -0.661 -3.253 0.069
I -1.803 -8.872 0.187
I -0.800 -6.210 -2.703
I -1.663 -5.915 2.958
Hf -1.232 -6.063 0.128
Au 0.000 0.000 0.000
Rb -4.193 -8.691 -3.321
Rb -5.125 -8.373 2.788
CELL_PARAMETERS angstrom
-0.300 -6.381 -5.981
-2.163 -5.745 6.237
-6.854 -4.939 -0.788
! **ρ**: 4.9 g cm⁻³
! **Raw total energy**: -3.29 eV per atom

[5]
! Hf2ReAuI (GGA-PBE, optimized geometry); values from VASP
&SYSTEM
  ibrav = 0, nat = 5, ntyp = 4
/
ATOMIC_SPECIES
I 126.90 I.upf
Re 186.21 Re.upf
Hf 178.49 Hf.upf
Au 196.97 Au.upf
ATOMIC_POSITIONS angstrom
I 0.000 2.628 0.000
Re 0.000 0.000 0.000
Hf 0.000 0.000 2.526
Hf 2.526 0.000 0.000
Au 2.526 2.628 2.526
CELL_PARAMETERS angstrom
5.052 0.000 0.000
0.000 5.257 0.000
0.000 0.000 5.052
! **ρ**: 10.7 g cm⁻³
! **Energy above the lowest structure with this stoichiometry**: 24.4 kJ/mol of atoms

[6]
! Hf2ReAuI (GGA-PBE, optimized geometry); values from VASP
&SYSTEM
  ibrav = 0, nat = 5, ntyp = 4
/
ATOMIC_SPECIES
I 126.90 I.upf
Re 186.21 Re.upf
Hf 178.49 Hf.upf
Au 196.97 Au.upf
ATOMIC_POSITIONS angstrom
I 2.534 2.569 2.534
Re 0.000 0.000 0.000
Hf 0.000 0.000 2.534
Hf 2.534 0.000 0.000
Au 0.000 2.569 0.000
CELL_PARAMETERS angstrom
5.067 0.000 0.000
0.000 5.138 0.000
0.000 0.000 5.067
! **ρ**: 10.9 g cm⁻³
! **Energy above the lowest structure with this stoichiometry**: 0.0 kJ/mol of atoms

[7]
! HfSb2AuI (GGA-PBE, optimized geometry); values from VASP
&SYSTEM
  ibrav = 0, nat = 5, ntyp = 4
/
ATOMIC_SPECIES
I 126.90 I.upf
Hf 178.49 Hf.upf
Au 196.97 Au.upf
Sb 121.76 Sb.upf
ATOMIC_POSITIONS angstrom
I 0.000 0.000 2.703
Hf 2.673 2.673 2.703
Au 0.000 0.000 0.000
Sb 0.000 2.673 0.000
Sb 2.673 0.000 0.000
CELL_PARAMETERS angstrom
5.346 0.000 0.000
0.000 5.346 0.000
0.000 0.000 5.405
! **ρ**: 8.0 g cm⁻³
! **Energy above the lowest structure with this stoichiometry**: 40.4 kJ/mol of atoms

[8]
! HfSbAuI2 (GGA-PBE, optimized geometry); values from VASP
&SYSTEM
  ibrav = 0, nat = 5, ntyp = 4
/
ATOMIC_SPECIES
I 126.90 I.upf
Hf 178.49 Hf.upf
Au 196.97 Au.upf
Sb 121.76 Sb.upf
ATOMIC_POSITIONS angstrom
I -0.669 -1.346 -2.254
I -2.381 1.291 -0.063
Hf -4.190 -2.081 -0.770
Au 0.000 0.000 0.000
Sb -1.140 -2.026 1.548
CELL_PARAMETERS angstrom
-4.763 2.582 -0.127
-1.339 -2.691 -4.509
-2.279 -4.053 3.095
! **ρ**: 7.6 g cm⁻³
! **Energy above the lowest structure with this stoichiometry**: 57.4 kJ/mol of atoms

[9]
! HfSb2AuI (GGA-PBE, optimized geometry); values from VASP
&SYSTEM
  ibrav = 0, nat = 5, ntyp = 4
/
ATOMIC_SPECIES
I 126.90 I.upf
Hf 178.49 Hf.upf
Au 196.97 Au.upf
Sb 121.76 Sb.upf
ATOMIC_POSITIONS angstrom
I 0.000 0.000 2.740
Hf 0.000 0.000 0.000
Au 2.786 2.786 2.740
Sb 0.000 2.786 0.000
Sb 2.786 0.000 0.000
CELL_PARAMETERS angstrom
5.572 0.000 0.000
0.000 5.572 0.000
0.000 0.000 5.481
! **ρ**: 7.3 g cm⁻³
! **Energy above the lowest structure with this stoichiometry**: 0.0 kJ/mol of atoms

[10]
! HfSbAuI2 (GGA-PBE, optimized geometry); values from VASP
&SYSTEM
  ibrav = 0, nat = 5, ntyp = 4
/
ATOMIC_SPECIES
I 126.90 I.upf
Hf 178.49 Hf.upf
Au 196.97 Au.upf
Sb 121.76 Sb.upf
ATOMIC_POSITIONS angstrom
I 0.000 2.758 0.000
I 2.758 0.000 0.000
Hf 0.000 0.000 0.000
Au 2.758 2.758 2.888
Sb 0.000 0.000 2.888
CELL_PARAMETERS angstrom
5.517 0.000 0.000
0.000 5.517 0.000
0.000 0.000 5.775
! **ρ**: 7.1 g cm⁻³
! **Energy above the lowest structure with this stoichiometry**: 0.0 kJ/mol of atoms

[11]
! HfAuSeI2 (GGA-PBE, optimized geometry); values from VASP
&SYSTEM
  ibrav = 0, nat = 5, ntyp = 4
/
ATOMIC_SPECIES
I 126.90 I.upf
Hf 178.49 Hf.upf
Au 196.97 Au.upf
Se 78.96 Se.upf
ATOMIC_POSITIONS angstrom
I 0.000 0.000 2.884
I 2.884 0.000 0.000
Hf 0.000 0.000 0.000
Au 2.884 2.510 2.884
Se 0.000 2.510 0.000
CELL_PARAMETERS angstrom
5.767 0.000 0.000
0.000 5.021 0.000
0.000 0.000 5.767
! **ρ**: 7.0 g cm⁻³
! **Raw total energy**: -4.06 eV per atom

[12]
! HfTe2AuI (GGA-PBE, optimized geometry); values from VASP
&SYSTEM
  ibrav = 0, nat = 5, ntyp = 4
/
ATOMIC_SPECIES
I 126.90 I.upf
Hf 178.49 Hf.upf
Te 127.60 Te.upf
Au 196.97 Au.upf
ATOMIC_POSITIONS angstrom
I 0.000 0.000 2.655
Hf 2.719 2.719 2.655
Te 0.000 2.719 0.000
Te 2.719 0.000 0.000
Au 0.000 0.000 0.000
CELL_PARAMETERS angstrom
5.437 0.000 0.000
0.000 5.437 0.000
0.000 0.000 5.310
! **ρ**: 8.0 g cm⁻³
! **Energy above the lowest structure with this stoichiometry**: 53.5 kJ/mol of atoms